SCAN KSc2Au, single point on PBEsol structure; energy relative to the elements = 340 meV per atom; energy relative to the lowest polymorph listed for this composition = 566.4 meV/atom; DOS at the Fermi energy = 3.29 states/eV/cell; space group = F-43m (216)
1.0
0.000 3.616 3.616
3.616 0.000 3.616
3.616 3.616 0.000
K Sc Au
1 2 1
Cartesian
0.000 0.000 0.000
3.616 3.616 3.616
5.424 5.424 5.424
1.808 1.808 1.808